Record 1
PBE PmEr3Tc, optimized geometry; calculated formation energy = 0.11 eV per atom; total energy = -5.649 eV/atom; E above lowest polymorph = 0.189 eV/atom
1.0
5.359 0.000 0.000
0.000 5.359 0.000
0.000 0.000 5.359
Pm Er Tc
1 3 1
Direct
0.000 0.000 0.000 Pm
0.000 0.500 0.500 Er
0.500 0.000 0.500 Er
0.500 0.500 0.000 Er
0.500 0.500 0.500 Tc

=====

Record 2
PBE Rb3Cd8Sn, optimized geometry; calculated formation energy = -0.01 eV per atom; total energy = -1.191 eV/atom
1.0
3.187 1.840 10.511
-3.187 1.840 10.511
0.000 -3.680 10.511
Rb Cd Sn
3 8 1
Direct
0.000 0.000 0.000 Rb
0.127 0.127 0.127 Rb
0.503 0.503 0.503 Rb
0.052 0.564 0.564 Cd
0.066 0.066 0.571 Cd
0.066 0.571 0.066 Cd
0.313 0.313 0.313 Cd
0.564 0.052 0.564 Cd
0.564 0.564 0.052 Cd
0.571 0.066 0.066 Cd
0.814 0.814 0.814 Cd
0.622 0.622 0.622 Sn

=====

Record 3
PBE ScBe2Ni, optimized geometry; calculated formation energy = -0.12 eV per atom; total energy = -5.014 eV/atom; E above lowest polymorph = 0.159 eV/atom
1.0
2.861 0.000 0.000
0.000 3.539 0.000
-1.427 0.000 4.908
Sc Be Ni
1 2 1
Direct
0.000 0.000 0.000 Sc
0.636 0.500 0.271 Be
0.736 0.000 0.479 Be
0.312 0.500 0.625 Ni

=====

Which formula does entry 1 have? PmEr3Tc